Entry from the Alexandria database: CeDy3Y8 after structural relaxation (PBE-GGA).

Properties
Energy of formation from the pure elements, eV per atom: 0.64
Raw total energy, eV for the cell shown: -63.762
N(E_F), states/eV/f.u.: 21.49

Lattice parameters (Å, degrees): 8.370 8.370 8.370 93.92 117.77 117.77
Atoms (fractional coordinates):
Ce: 0.000 0.000 0.000
Dy: 0.500 0.750 0.250
Dy: 0.500 0.250 0.750
Dy: 0.000 0.500 0.500
Y: 0.465 0.204 0.204
Y: 0.535 0.738 0.738
Y: 0.000 0.796 0.262
Y: 0.000 0.262 0.796
Y: 0.251 0.362 0.362
Y: 0.749 0.111 0.111
Y: 0.000 0.638 0.889
Y: 0.000 0.889 0.638

Entry from the Alexandria database: CeDyY2 after structural relaxation (PBE-GGA).

Properties
Energy of formation from the pure elements, eV per atom: 0.17
Raw total energy, eV for the cell shown: -22.788
N(E_F), states/eV/f.u.: 10.50
Energy above the most stable polymorph in this dataset, kJ per mole of atoms: 11.8

Lattice parameters (Å, degrees): 5.680 5.680 5.680 60.00 60.00 60.00
Atoms (fractional coordinates):
Y: 0.250 0.250 0.250
Y: 0.750 0.750 0.750
Ce: 0.500 0.500 0.500
Dy: 0.000 0.000 0.000